# 1
First-principles (meta-GGA SCAN) data for a PBEsol-optimized structure of Hg3Se2F2, as listed in the Alexandria database.

SG ... I2_13 (199)
Formation energy (no corrections) ... -818 meV/atom
DOS at the Fermi energy ... 0.00 states/eV/cell
Uncorrected energy ... -514.92 eV for the cell shown
Density ... 8.92 g/cm³

a = 7.281 Å, b = 7.281 Å, c = 7.281 Å
α = 109.47°, β = 109.47°, γ = 109.47°
Positions (direct):
F: 0.000 0.500 0.019
F: 0.500 0.519 0.500
F: 0.981 0.981 0.481
F: 0.519 0.000 0.000
Hg: 0.662 0.412 0.250
Hg: 0.250 0.838 0.588
Hg: 0.412 0.750 0.162
Hg: 0.750 0.662 0.912
Hg: 0.088 0.250 0.338
Hg: 0.838 0.088 0.750
Se: 0.000 0.500 0.585
Se: 0.085 0.000 0.000
Se: 0.415 0.415 0.915
Se: 0.500 0.085 0.500

=====

# 2
First-principles (meta-GGA SCAN) data for a PBEsol-optimized structure of KCaPt, as listed in the Alexandria database.

SG ... F-43m (216)
DOS at the Fermi energy ... 2.30 states/eV/cell
Uncorrected energy ... -89.07 eV for the cell shown
Density ... 5.11 g/cm³

a = 5.013 Å, b = 5.013 Å, c = 5.013 Å
α = 60.00°, β = 60.00°, γ = 60.00°
Positions (direct):
Ca: 0.000 0.000 0.000
Pt: 0.250 0.250 0.250
K: 0.500 0.500 0.500

=====

# 3
First-principles (meta-GGA SCAN) data for a PBEsol-optimized structure of BeFeSiOs2, as listed in the Alexandria database.

SG ... P4/mmm (123)
Formation energy (no corrections) ... 573 meV/atom
DOS at the Fermi energy ... 2.82 states/eV/cell
Uncorrected energy ... -173.39 eV for the cell shown
Density ... 12.68 g/cm³

a = 3.721 Å, b = 4.081 Å, c = 4.081 Å
α = 90.00°, β = 90.00°, γ = 90.00°
Positions (direct):
Si: 0.500 0.500 0.500
Os: 0.000 0.000 0.500
Os: 0.000 0.500 0.000
Be: 0.000 0.000 0.000
Fe: 0.500 0.000 0.000

=====

# 4
First-principles (meta-GGA SCAN) data for a PBEsol-optimized structure of GdC6N9, as listed in the Alexandria database.

SG ... Cmcm (63)
Formation energy (no corrections) ... -42 meV/atom
DOS at the Fermi energy ... 0.00 states/eV/cell
Uncorrected energy ... -407.42 eV for the cell shown
Density ... 2.63 g/cm³

a = 6.899 Å, b = 6.899 Å, c = 10.182 Å
α = 90.00°, β = 90.00°, γ = 111.96°
Positions (direct):
C: 0.707 0.999 0.553
C: 0.999 0.707 0.053
C: 0.438 0.270 0.750
C: 0.293 0.001 0.447
C: 0.293 0.001 0.053
C: 0.707 0.999 0.947
C: 0.270 0.438 0.250
C: 0.999 0.707 0.447
C: 0.001 0.293 0.947
C: 0.562 0.730 0.250
C: 0.730 0.562 0.750
C: 0.001 0.293 0.553
N: 0.574 0.856 0.601
N: 0.144 0.426 0.899
N: 0.155 0.845 0.992
N: 0.155 0.845 0.508
N: 0.845 0.155 0.008
N: 0.426 0.144 0.101
N: 0.088 0.348 0.250
N: 0.528 0.472 0.750
N: 0.856 0.574 0.101
N: 0.856 0.574 0.399
N: 0.348 0.088 0.750
N: 0.912 0.652 0.750
N: 0.845 0.155 0.492
N: 0.652 0.912 0.250
N: 0.144 0.426 0.601
N: 0.472 0.528 0.250
N: 0.574 0.856 0.899
N: 0.426 0.144 0.399
Gd: 0.283 0.717 0.750
Gd: 0.717 0.283 0.250

=====

# 5
First-principles (meta-GGA SCAN) data for a PBEsol-optimized structure of BeCuPb, as listed in the Alexandria database.

SG ... F-43m (216)
DOS at the Fermi energy ... 0.78 states/eV/cell
Uncorrected energy ... -94.25 eV for the cell shown
Density ... 9.01 g/cm³

a = 4.177 Å, b = 4.177 Å, c = 4.177 Å
α = 60.00°, β = 60.00°, γ = 60.00°
Positions (direct):
Cu: 0.250 0.250 0.250
Be: 0.500 0.500 0.500
Pb: 0.000 0.000 0.000

=====

# 6
First-principles (meta-GGA SCAN) data for a PBEsol-optimized structure of MnBe2Os, as listed in the Alexandria database.

SG ... Amm2 (38)
DOS at the Fermi energy ... 2.24 states/eV/cell
Uncorrected energy ... -99.88 eV for the cell shown
Density ... 10.89 g/cm³

a = 2.718 Å, b = 3.500 Å, c = 4.431 Å
α = 90.00°, β = 107.86°, γ = 90.00°
Positions (direct):
Be: 0.192 0.000 0.385
Be: 0.057 0.500 0.113
Mn: 0.465 0.000 0.931
Os: 0.786 0.500 0.572

=====

# 7
First-principles (meta-GGA SCAN) data for a PBEsol-optimized structure of Sc3Tc, as listed in the Alexandria database.

SG ... Immm (71)
DOS at the Fermi energy ... 4.96 states/eV/cell
Uncorrected energy ... -78.34 eV for the cell shown
Density ... 4.88 g/cm³

a = 3.352 Å, b = 4.869 Å, c = 5.682 Å
α = 115.37°, β = 107.16°, γ = 90.00°
Positions (direct):
Sc: 0.292 0.292 0.585
Sc: 0.708 0.708 0.415
Sc: 0.500 0.000 0.000
Tc: 0.000 0.500 0.000

=====

# 8
First-principles (meta-GGA SCAN) data for a PBEsol-optimized structure of Al3Ni9C, as listed in the Alexandria database.

SG ... P4/mmm (123)
DOS at the Fermi energy ... 7.63 states/eV/cell
Uncorrected energy ... -183.87 eV for the cell shown
Density ... 7.46 g/cm³

a = 3.655 Å, b = 3.655 Å, c = 10.351 Å
α = 90.00°, β = 90.00°, γ = 90.00°
Positions (direct):
Ni: 0.500 0.000 0.000
Ni: 0.500 0.500 0.823
Ni: 0.500 0.500 0.177
Ni: 0.500 0.000 0.660
Ni: 0.000 0.500 0.660
Ni: 0.000 0.500 0.000
Ni: 0.500 0.500 0.500
Ni: 0.000 0.500 0.340
Ni: 0.500 0.000 0.340
Al: 0.000 0.000 0.500
Al: 0.000 0.000 0.816
Al: 0.000 0.000 0.184
C: 0.500 0.500 0.000

=====

# 9
First-principles (meta-GGA SCAN) data for a PBEsol-optimized structure of Y2AgPb, as listed in the Alexandria database.

SG ... R-3m (166)
DOS at the Fermi energy ... 3.48 states/eV/cell
Uncorrected energy ... -164.21 eV for the cell shown
Density ... 7.58 g/cm³

a = 3.757 Å, b = 3.757 Å, c = 9.103 Å
α = 78.09°, β = 78.09°, γ = 60.00°
Positions (direct):
Ag: 0.500 0.500 0.500
Y: 0.757 0.757 0.728
Y: 0.243 0.243 0.272
Pb: 0.000 0.000 0.000

=====

# 10
First-principles (meta-GGA SCAN) data for a PBEsol-optimized structure of Y5Os, as listed in the Alexandria database.

SG ... C2/m (12)
E above lowest polymorph ... 0.00 eV/f.u.
DOS at the Fermi energy ... 6.72 states/eV/cell
Uncorrected energy ... -211.88 eV for the cell shown
Density ... 6.47 g/cm³

a = 3.501 Å, b = 6.301 Å, c = 8.307 Å
α = 111.28°, β = 90.00°, γ = 106.13°
Positions (direct):
Y: 0.840 0.679 0.219
Y: 0.500 0.000 0.000
Y: 0.133 0.265 0.369
Y: 0.867 0.735 0.631
Y: 0.160 0.321 0.781
Os: 0.500 0.000 0.500

=====

# 11
First-principles (meta-GGA SCAN) data for a PBEsol-optimized structure of La2SiPt, as listed in the Alexandria database.

SG ... Amm2 (38)
Formation energy (no corrections) ... -1083 meV/atom
DOS at the Fermi energy ... 2.16 states/eV/cell
Uncorrected energy ... -170.75 eV for the cell shown
Density ... 8.46 g/cm³

a = 4.291 Å, b = 4.247 Å, c = 5.809 Å
α = 90.00°, β = 111.68°, γ = 90.00°
Positions (direct):
Pt: 0.818 0.000 0.636
La: 0.106 0.000 0.211
La: 0.392 0.500 0.785
Si: 0.684 0.500 0.369

=====

# 12
First-principles (meta-GGA SCAN) data for a PBEsol-optimized structure of LiNiBi3, as listed in the Alexandria database.

SG ... Pm-3m (221)
DOS at the Fermi energy ... 2.69 states/eV/cell
Uncorrected energy ... -250.57 eV for the cell shown
Density ... 9.35 g/cm³

a = 4.973 Å, b = 4.973 Å, c = 4.973 Å
α = 90.00°, β = 90.00°, γ = 90.00°
Positions (direct):
Ni: 0.500 0.500 0.500
Li: 0.000 0.000 0.000
Bi: 0.500 0.000 0.000
Bi: 0.000 0.500 0.000
Bi: 0.000 0.000 0.500

=====

uncorrected energy of number 8 (Al3Ni9C)?
-183.87 eV for the cell shown

=====

Which value of DOS at the Fermi energy does entry 1 give?
0.00 states/eV/cell